## Ti2HAuF (PBE)

Data for Ti2HAuF after structural relaxation.

Summary:
Magnetic moment   0.00 μB/cell
SG   No. 123
Uncorrected energy   -26.602 eV/f.u.

a = 4.1170 Å, b = 4.1170 Å, c = 3.9454 Å
α = 90.00°, β = 90.00°, γ = 90.00°
Fractional positions:
Ti 0.0000 0.5000 0.0000
Ti 0.5000 0.0000 0.0000
H 0.0000 0.0000 0.5000
Au 0.5000 0.5000 0.5000
F 0.0000 0.0000 0.0000

## Ce4HgAu3 (PBE)

Data for Ce4HgAu3 after structural relaxation.

Summary:
Energy relative to the lowest polymorph listed for this composition   0 meV/atom
Magnetic moment   4.20 μB/cell
SG   No. 25
Uncorrected energy   -38.056 eV/f.u.

a = 3.8643 Å, b = 4.7910 Å, c = 11.5770 Å
α = 90.00°, β = 90.00°, γ = 90.00°
Fractional positions:
Ce 0.0000 0.0000 0.0000
Ce 0.0000 0.5000 0.2735
Ce 0.5000 0.0000 0.4869
Ce 0.5000 0.5000 0.7808
Hg 0.0000 0.0000 0.7150
Au 0.0000 0.5000 0.5479
Au 0.5000 0.0000 0.2191
Au 0.5000 0.5000 0.0515

## SrF3 (PBE)

Data for SrF3 after structural relaxation.

Summary:
Magnetic moment   1.00 μB/cell
E_form (uncorrected)   -2.73 eV/atom
SG   No. 166
Uncorrected energy   -18.207 eV/f.u.

a = 6.2822 Å, b = 6.2822 Å, c = 6.2822 Å
α = 37.89°, β = 37.89°, γ = 37.89°
Fractional positions:
Sr 0.0000 0.0000 0.0000
F 0.3755 0.3755 0.3755
F 0.5000 0.5000 0.5000
F 0.6245 0.6245 0.6245

## Dy3LuCl (PBE)

Data for Dy3LuCl after structural relaxation.

Summary:
Magnetic moment   0.00 μB/cell
E_form (uncorrected)   -0.43 eV/atom
SG   No. 221
Uncorrected energy   -22.311 eV/f.u.

a = 5.2463 Å, b = 5.2463 Å, c = 5.2463 Å
α = 90.00°, β = 90.00°, γ = 90.00°
Fractional positions:
Dy 0.0000 0.0000 0.5000
Dy 0.0000 0.5000 0.0000
Dy 0.5000 0.0000 0.0000
Lu 0.5000 0.5000 0.5000
Cl 0.0000 0.0000 0.0000

## BaTc2Te (PBE)

Data for BaTc2Te after structural relaxation.

Summary:
Magnetic moment   0.00 μB/cell
E_form (uncorrected)   -0.08 eV/atom
SG   No. 160
Uncorrected energy   -26.131 eV/f.u.

a = 6.9347 Å, b = 6.9347 Å, c = 6.9347 Å
α = 36.35°, β = 36.35°, γ = 36.35°
Fractional positions:
Ba 0.0000 0.0000 0.0000
Tc 0.4781 0.4781 0.4781
Tc 0.7927 0.7927 0.7927
Te 0.2066 0.2066 0.2066